Record 1
Density functional theory data (PBE-GGA) for a geometry-optimized NaLiHgF6 structure.

Cell and atoms, written as extended XYZ:
```
18
Lattice="5.4567 0.0000 0.0000 -2.7284 4.7257 0.0000 0.0000 0.0000 9.9159" Properties=species:S:1:pos:R:3 pbc="T T T"
Na 0.0000 0.0000 0.0000
Na 0.0000 0.0000 4.9579
Li 0.0000 3.1504 2.4790
Li 2.7284 1.5752 7.4369
Hg 0.0000 3.1504 7.4369
Hg 2.7284 1.5752 2.4790
F -0.9295 1.6993 1.3502
F -1.7214 3.0711 3.6078
F 0.9295 1.6993 3.6078
F -0.7920 4.6809 1.3502
F 1.9364 0.0447 6.3081
F 1.0069 1.6546 8.5657
F 1.7214 3.0711 1.3502
F 0.7920 4.6809 3.6078
F 3.5204 0.0447 8.5657
F 1.7989 3.0264 6.3081
F 4.4498 1.6546 6.3081
F 3.6578 3.0264 8.5657
```

Values from the calculation:
ΔE_f (raw) in eV per atom: -1.78
Final energy in eV per atom: -3.420
SG: P-31c, No. 163
Volume in Å³/cell: 255.70

---

Record 2
Density functional theory data (PBE-GGA) for a geometry-optimized NaLiHg2F8 structure.

Cell and atoms, written as extended XYZ:
```
12
Lattice="-3.5437 3.5437 3.7407 3.5437 -3.5437 3.7407 3.5437 3.5437 -3.7407" Properties=species:S:1:pos:R:3 pbc="T T T"
Na 0.0000 0.0000 0.0000
Li 3.5437 0.0000 1.8703
Hg 0.0000 0.0000 3.7407
Hg 0.0000 3.5437 1.8703
F 2.1586 3.5437 -1.6391
F 1.3850 0.0000 2.1015
F 0.0000 2.2711 0.1731
F 3.5437 2.1586 1.6391
F 0.0000 4.8162 0.1731
F 0.0000 1.3850 5.3798
F -1.2725 3.5437 3.5675
F 1.2725 3.5437 3.5675
```

Values from the calculation:
ΔE_f (raw) in eV per atom: -1.52
Final energy in eV per atom: -3.087
SG: I-4m2, No. 119
Fermi-level density of states in states/eV/cell: 5.141
Volume in Å³/cell: 187.89

---

Record 3
Density functional theory data (PBE-GGA) for a geometry-optimized NaLi2HgF structure.

Cell and atoms, written as extended XYZ:
```
5
Lattice="4.2899 0.0000 0.0000 0.0000 4.2899 0.0000 0.0000 0.0000 4.6765" Properties=species:S:1:pos:R:3 pbc="T T T"
Na 0.0000 0.0000 0.0000
Li 0.0000 2.1450 2.3383
Li 2.1450 0.0000 2.3383
Hg 2.1450 2.1450 0.0000
F 0.0000 0.0000 2.3383
```

Values from the calculation:
ΔE_f (raw) in eV per atom: -1.14
Final energy in eV per atom: -2.607
SG: P4/mmm, No. 123
Fermi-level density of states in states/eV/cell: 2.608
Distance to the lowest polymorph of the same formula in meV/atom: 0
Volume in Å³/cell: 86.06